Compound: SrCo2PbF8
Source: the Alexandria database
Functional: PBE with a Hubbard U
Structure: relaxed

Cell: 4.1005 5.4767 8.3911 Å, 83.68 88.20 81.68°
Last column: magnetic moment on the atom in μB.
Sites, in units of the cell vectors:
Pb 0.0000 0.0000 0.0000  0.01
F 0.5501 0.7283 0.5060  0.04
Co 0.5668 0.5467 0.2971  2.78
F 0.1471 0.7613 0.7618  0.03
F 0.4499 0.2717 0.4940  0.04
F 0.0663 0.6796 0.2991  0.05
F 0.8529 0.2387 0.2382  0.03
Co 0.4332 0.4533 0.7029  2.78
F 0.5521 0.7521 0.0861  0.04
Sr 0.0000 0.0000 0.5000  0.00
F 0.9337 0.3204 0.7009  0.05
F 0.4479 0.2479 0.9139  0.04

Computed properties:
Space-group type: P-1 (2)
E_tot: -5.145 eV per atom
Fermi-level density of states: 0.000 states/eV/cell